Y3Ir2Pd: relaxed, PBE.

The structure in CIF format:
```
data_Y3Ir2Pd
_chemical_formula_sum 'Y6 Ir4 Pd2'
_space_group_name_H-M_alt 'C m m m'
_space_group_IT_number 65
_space_group_name_Hall '-C 2 2'
_cell_length_a 4.965
_cell_length_b 14.898
_cell_length_c 3.361
_cell_angle_alpha 90.00
_cell_angle_beta 90.00
_cell_angle_gamma 90.00
loop_
_atom_site_label
_atom_site_type_symbol
_atom_site_fract_x
_atom_site_fract_y
_atom_site_fract_z
Y1 Y 0.000 0.000 0.000
Y2 Y 0.000 0.330 0.000
Ir1 Ir 0.000 0.165 0.500
Pd1 Pd 0.000 0.500 0.500
```

Values from the calculation:
Theoretical density ... 10118 kg/m3
Final energy ... -94.60 eV for the cell shown
Energy of formation from the pure elements ... -482 kJ/mol of formula units
Density of states at the Fermi level ... 6.34 states/eV per cell